Entry 1:
First-principles (PBE) data for a geometry-optimized Ti3VH7 structure, as listed in Alexandria via LeMat-Bulk.

CIF file:
```
data_Ti3VH7
_space_group_name_H-M_alt 'C m c m'
_space_group_IT_number 63
_space_group_name_Hall '-C 2c 2'
_cell_length_a 7.763
_cell_length_b 6.396
_cell_length_c 6.501
_cell_angle_alpha 90.00
_cell_angle_beta 90.00
_cell_angle_gamma 90.00
loop_
_atom_site_label
_atom_site_type_symbol
_atom_site_fract_x
_atom_site_fract_y
_atom_site_fract_z
Ti1 Ti 0.000 0.000 0.000
Ti2 Ti 0.234 0.257 0.250
V1 V 0.000 0.500 0.000
H1 H 0.000 0.392 0.250
H2 H 0.124 0.261 0.514
H3 H 0.128 0.003 0.750
```

E_tot, eV/atom: -5.502


Entry 2:
First-principles (PBE) data for a geometry-optimized CaGa3Pd3 structure, as listed in Alexandria via LeMat-Bulk.

CIF file:
```
data_CaGa3Pd3
_space_group_name_H-M_alt 'P m -3 n'
_space_group_IT_number 223
_space_group_name_Hall '-P 4n 2 3'
_cell_length_a 6.861
_cell_length_b 6.861
_cell_length_c 6.861
_cell_angle_alpha 90.00
_cell_angle_beta 90.00
_cell_angle_gamma 90.00
loop_
_atom_site_label
_atom_site_type_symbol
_atom_site_fract_x
_atom_site_fract_y
_atom_site_fract_z
Ca1 Ca 0.000 0.000 0.000
Ga1 Ga 0.000 0.250 0.500
Pd1 Pd 0.000 0.500 0.250
```

E_tot, eV/atom: -4.161
Energy relative to the lowest polymorph listed for this composition, meV/atom: 283
Energy relative to the elements, eV per atom: -0.352


Entry 3:
First-principles (PBE) data for a geometry-optimized CoAs2Ru structure, as listed in Alexandria via LeMat-Bulk.

CIF file:
```
data_CoAs2Ru
_space_group_name_H-M_alt 'C 1 2/m 1'
_space_group_IT_number 12
_space_group_name_Hall '-C 2y'
_cell_length_a 7.645
_cell_length_b 3.002
_cell_length_c 5.070
_cell_angle_alpha 90.00
_cell_angle_beta 102.49
_cell_angle_gamma 90.00
loop_
_atom_site_label
_atom_site_type_symbol
_atom_site_fract_x
_atom_site_fract_y
_atom_site_fract_z
Co1 Co 0.000 0.000 0.000
As1 As 0.250 0.000 0.758
Ru1 Ru 0.000 0.500 0.500
```

E_tot, eV/atom: -6.391
Energy relative to the lowest polymorph listed for this composition, meV/atom: 136
Energy relative to the elements, eV per atom: 0.029


Number 1: total magnetization 0.0 μB/cell. Number 2: total magnetization 0.0 μB/cell. Number 3: total magnetization 0.0 μB/cell.